# LaCdIr2 (PBE, optimized geometry)
data_LaCdIr2
_chemical_formula_sum 'La1 Cd1 Ir2'
_cell_length_a 3.077
_cell_length_b 4.367
_cell_length_c 5.926
_cell_angle_alpha 90.00
_cell_angle_beta 90.00
_cell_angle_gamma 90.00
_space_group_name_H-M_alt 'P m m 2'
_space_group_IT_number 25
_space_group_name_Hall 'P 2 -2'
loop_
_atom_site_label
_atom_site_fract_x
_atom_site_fract_y
_atom_site_fract_z
La1 0.000 0.000 0.000
Cd1 0.500 0.500 0.323
Ir1 0.000 0.000 0.520
Ir2 0.500 0.500 0.777
# - Final energy: -5.862 eV/atom
# - Magnetic moment: 0.0 μB/f.u.
# - Calculated volume: 19.91 Å³ per atom
# - Formation energy: 29 meV per atom
# - DOS(E_F): 4.37 states/eV per cell